This record from the Alexandria database describes an optimized crystal structure of Ce3CoIr8. The functional is PBE.

Raw total energy   -101.7 eV/cell
Energy of formation   -492 meV/atom

Cell: 5.339 5.339 9.311 Å, 73.34 73.34 60.00°
Fractional positions:
Ir  0.561  0.561  0.819
Ir  0.310  0.310  0.070
Ir  0.809  0.809  0.573
Ir  0.561  0.058  0.819
Ir  0.059  0.059  0.320
Ir  0.059  0.562  0.320
Ir  0.562  0.059  0.320
Ir  0.058  0.561  0.819
Ce  0.011  0.011  0.967
Ce  0.621  0.621  0.137
Ce  0.491  0.491  0.528
Co  0.148  0.148  0.556